# FePCSe | Alexandria via LeMat-Bulk | PBE-GGA | relaxed
# - Total energy: -6.234 eV per atom
# - Distance to the lowest polymorph of the same formula: 131 meV/atom
# - E_form (uncorrected): 411 meV per atom
data_FePCSe
_symmetry_space_group_name_H-M 'C 1 m 1'
_symmetry_Int_Tables_number 8
_cell_length_a 11.430
_cell_length_b 2.908
_cell_length_c 3.664
_cell_angle_alpha 90.00
_cell_angle_beta 103.78
_cell_angle_gamma 90.00
loop_
_symmetry_equiv_pos_as_xyz
'x,y,z'
'x,-y,z'
'x+1/2,y+1/2,z'
'x+1/2,-y+1/2,z'
loop_
_atom_site_label
_atom_site_fract_x
_atom_site_fract_y
_atom_site_fract_z
_atom_site_occupancy
Fe1 0.000 0.000 0.000 1
P1 0.126 0.500 0.383 1
C1 0.086 0.000 0.604 1
Se1 0.352 0.500 0.415 1